A plane-wave DFT calculation with PBE was carried out for Ac3SbN2 after structural relaxation.

a b c (Å): 6.179 7.786 7.786
angles (deg): 100.58 90.00 90.00
Fractional coordinates of all 12 atoms:
N1 0.000 0.159 0.159
Ac1 0.750 0.178 0.386
N2 0.500 0.841 0.841
Sb1 0.750 0.683 0.317
Ac2 0.250 0.386 0.178
Ac3 0.750 0.614 0.822
N3 0.500 0.159 0.159
N4 0.000 0.841 0.841
Ac4 0.250 0.900 0.100
Ac5 0.250 0.822 0.614
Sb2 0.250 0.317 0.683
Ac6 0.750 0.100 0.900

Raw formation energy = -1124.4 meV per atom
Distance to the lowest polymorph of the same formula = 0 meV/atom

***

A plane-wave DFT calculation with PBE was carried out for AcSbN2 after structural relaxation.

a b c (Å): 3.467 3.467 7.494
angles (deg): 76.63 76.63 60.00
Fractional coordinates of all 4 atoms:
Sb1 0.500 0.500 0.500
N1 0.117 0.117 0.648
Ac1 0.000 0.000 0.000
N2 0.883 0.883 0.352

Raw formation energy = 400.3 meV per atom